A plane-wave DFT calculation with GGA-PBE was carried out for a geometry-optimized CrHgI3 structure.

The uncorrected formation energy comes out at -0.0524 eV per atom. The energy above the most stable polymorph in this dataset comes out at 0.188 eV per atom.

The space group is Pm-3m (No. 221) and the conventional cell measures 5.568, 5.568 and 5.568 Å, with angles of 90.00, 90.00 and 90.00 degrees. Symmetry generates all atoms from Cr at (0.000, 0.000, 0.000), Hg at (0.500, 0.500, 0.500) and I at (0.000, 0.000, 0.500).

A plane-wave DFT calculation with GGA-PBE was carried out for a geometry-optimized Nd4Al5Zn2 structure.

The calculation puts the energy of formation from the pure elements at -0.2979 eV/atom.

The space group is P2/m (No. 10) and the conventional cell measures 7.415, 3.671 and 9.591 Å, with angles of 90.00, 93.32 and 90.00 degrees. Symmetry generates all atoms from Nd at (0.171, 0.000, 0.384), Nd at (0.277, 0.000, 0.941), Al at (0.201, 0.500, 0.668), Al at (0.437, 0.500, 0.212), Al at (0.500, 0.500, 0.500) and Zn at (0.055, 0.500, 0.134).

A plane-wave DFT calculation with GGA-PBE was carried out for a geometry-optimized HoTmSe structure.

The uncorrected formation energy comes out at -0.9479 eV per atom. The energy above the most stable polymorph in this dataset comes out at 0.139 eV per atom.

The space group is I4mm (No. 107) and the conventional cell measures 3.564, 3.564 and 12.077 Å, with angles of 90.00, 90.00 and 90.00 degrees. Symmetry generates all atoms from Ho at (0.000, 0.000, 0.000), Tm at (0.000, 0.000, 0.294) and Se at (0.000, 0.000, 0.649).

A plane-wave DFT calculation with GGA-PBE was carried out for a geometry-optimized RbGa2S2 structure.

The uncorrected formation energy comes out at -0.5513 eV per atom.

The space group is I4/mmm (No. 139) and the conventional cell measures 4.939, 4.939 and 9.471 Å, with angles of 90.00, 90.00 and 90.00 degrees. Symmetry generates all atoms from Rb at (0.000, 0.000, 0.000), Ga at (0.000, 0.000, 0.350) and S at (0.000, 0.500, 0.250).

A plane-wave DFT calculation with GGA-PBE was carried out for a geometry-optimized LiCaSb2Pd4 structure.

The uncorrected formation energy comes out at -0.6641 eV per atom.

The space group is R-3m (No. 166, hexagonal axes) and the conventional cell measures 4.5748, 4.5748 and 24.4362 Å, with angles of 90.00, 90.00 and 120.00 degrees. Symmetry generates all atoms from Li at (0.0000, 0.0000, 0.0000), Ca at (0.0000, 0.0000, 0.5000), Sb at (0.0000, 0.0000, 0.2563), Pd at (0.0000, 0.0000, 0.1025) and Pd at (0.0000, 0.0000, 0.3694).

A plane-wave DFT calculation with GGA-PBE was carried out for a geometry-optimized CdGa8 structure.

The calculation puts the energy of formation from the pure elements at 0.0313 eV/atom.

The space group is I4/mmm (No. 139) and the conventional cell measures 8.577, 8.577 and 4.749 Å, with angles of 90.00, 90.00 and 90.00 degrees. Symmetry generates all atoms from Cd at (0.000, 0.000, 0.000), Ga at (0.000, 0.339, 0.000) and Ga at (0.168, 0.168, 0.500).

A plane-wave DFT calculation with GGA-PBE was carried out for a geometry-optimized CuNi6Pt2 structure.

The energy above the most stable polymorph in this dataset comes out at 0.000 eV per atom. The calculation puts the energy of formation from the pure elements at 0.0219 eV/atom.

The space group is C2/c (No. 15) and the conventional cell measures 7.728, 8.330 and 7.416 Å, with angles of 90.00, 110.41 and 90.00 degrees. Symmetry generates all atoms from Cu at (0.000, 0.158, 0.250), Ni at (0.056, 0.111, 0.927), Ni at (0.105, 0.387, 0.071), Ni at (0.227, 0.387, 0.430) and Pt at (0.173, 0.342, 0.750).

A plane-wave DFT calculation with GGA-PBE was carried out for a geometry-optimized NdSm12In6 structure.

The calculation puts the energy of formation from the pure elements at -0.2236 eV/atom.

The space group is R-3 (No. 148, hexagonal axes) and the conventional cell measures 11.6762, 11.6762 and 14.6596 Å, with angles of 90.00, 90.00 and 120.00 degrees. Symmetry generates all atoms from Nd at (0.0000, 0.0000, 0.0000), Sm at (0.0611, 0.8433, 0.4103), Sm at (0.0712, 0.1902, 0.8048) and In at (0.0270, 0.4357, 0.7140).

A plane-wave DFT calculation with GGA-PBE was carried out for a geometry-optimized Ca2YTe structure.

The uncorrected formation energy comes out at -0.4375 eV per atom.

The space group is I-4m2 (No. 119) and the conventional cell measures 4.762, 4.762 and 11.296 Å, with angles of 90.00, 90.00 and 90.00 degrees. Symmetry generates all atoms from Ca at (0.000, 0.000, 0.000), Ca at (0.000, 0.500, 0.250), Y at (0.000, 0.000, 0.500) and Te at (0.000, 0.500, 0.750).

A plane-wave DFT calculation with GGA-PBE was carried out for a geometry-optimized SrCaV2Cl structure.

The uncorrected formation energy comes out at 1.5879 eV per atom.

The space group is P4/mmm (No. 123) and the conventional cell measures 5.534, 5.534 and 7.306 Å, with angles of 90.00, 90.00 and 90.00 degrees. Symmetry generates all atoms from Sr at (0.000, 0.000, 0.000), Ca at (0.000, 0.000, 0.500), V at (0.000, 0.500, 0.000) and Cl at (0.500, 0.500, 0.500).

A plane-wave DFT calculation with GGA-PBE was carried out for a geometry-optimized CsK2Rb structure.

The energy above the most stable polymorph in this dataset comes out at 0.002 eV per atom. The calculation puts the energy of formation from the pure elements at 0.0099 eV/atom.

The space group is P4/mmm (No. 123) and the conventional cell measures 7.101, 7.101 and 6.896 Å, with angles of 90.00, 90.00 and 90.00 degrees. Symmetry generates all atoms from Cs at (0.000, 0.000, 0.000), K at (0.000, 0.500, 0.500) and Rb at (0.500, 0.500, 0.000).

A plane-wave DFT calculation with GGA-PBE was carried out for a geometry-optimized Ac3La7Au4 structure.

The calculation puts the energy of formation from the pure elements at -0.4339 eV/atom.

The space group is C2/m (No. 12) and the conventional cell measures 19.084, 5.146 and 11.720 Å, with angles of 90.00, 126.46 and 90.00 degrees. Symmetry generates all atoms from Ac at (0.000, 0.000, 0.000), Ac at (0.185, 0.500, 0.685), La at (0.000, 0.000, 0.500), La at (0.012, 0.500, 0.283), La at (0.164, 0.000, 0.429), La at (0.195, 0.500, 0.040), Au at (0.106, 0.000, 0.838) and Au at (0.165, 0.500, 0.262).